Compound: LiFe2Se
Source: Alexandria via LeMat-Bulk
Functional: meta-GGA SCAN
Structure: single point on PBEsol structure

a = 3.542 Å, b = 3.542 Å, c = 4.708 Å
α = 112.10°, β = 112.10°, γ = 90.00°
Element x y z (fractional)
Se: 0.000 0.000 0.000
Fe: 0.250 0.750 0.500
Fe: 0.750 0.250 0.500
Li: 0.500 0.500 0.000

- Symmetry: I4/mmm (139)
- Energy relative to the elements, uncorrected: -0.3 eV/f.u.
- Raw total energy: -14.76 eV per atom
- Fermi-level density of states: 2.5 states/eV/f.u.